# CdNiB2

Crystalline CdNiB2 at its relaxed geometry (PBE, Alexandria via LeMat-Bulk).

Summary:
- Symmetry: No. 141
- Distance to the lowest polymorph of the same formula: 0 meV/atom
- Total energy: -4.670 eV per atom
- Formation enthalpy at 0 K: 342 meV/atom

Cell: 3.6698 3.6698 7.6092 Å, 76.05 76.05 90.00°
Closest atoms and distances in Å follow each position.
Fractional positions:
Ni1 0.5000 0.5000 0.0000  4 B 2.01
Ni2 0.2500 0.7500 0.5000  4 B 2.01
B1 0.3750 0.1250 0.2500  2 B 1.83, 2 Ni 2.01
B2 0.3750 0.6250 0.2500  2 B 1.83, 2 Ni 2.01
B3 0.3750 0.6250 0.7500  2 B 1.83, 2 Ni 2.01
B4 0.8750 0.6250 0.7500  2 B 1.83, 2 Ni 2.01
Cd1 0.0000 0.0000 0.0000  4 Ni 2.59, 8 B 2.72
Cd2 0.7500 0.2500 0.5000  4 Ni 2.59, 8 B 2.72